Compound: Y2CdIn3Hg6
Source: Alexandria
Functional: PBE-GGA
Structure: optimized geometry

Unit cell a=4.5470 b=4.5470 c=19.8146 alpha=90.00 beta=90.00 gamma=90.00
Closest atoms and distances in Å follow each position.
Sites, in units of the cell vectors:
Y1 0.0000 0.0000 0.2064  4 Hg 3.17, 4 In 3.22
Y2 0.0000 0.0000 0.7936  4 Hg 3.17, 4 In 3.22
Cd1 0.0000 0.0000 0.0000  8 Hg 2.95
In1 0.5000 0.5000 0.2087  5 Hg 2.88-3.20, 4 Y 3.22
In2 0.5000 0.5000 0.5000  2 Hg 2.89
In3 0.5000 0.5000 0.7913  5 Hg 2.88-3.20, 4 Y 3.22
Hg1 0.0000 0.5000 0.0948  2 Cd 2.95, 2 Y 3.17, 2 In 3.20, 4 Hg 3.22
Hg2 0.0000 0.5000 0.9052  2 Cd 2.95, 2 Y 3.17, 2 In 3.20, 4 Hg 3.22
Hg3 0.5000 0.0000 0.0948  2 Cd 2.95, 2 Y 3.17, 2 In 3.20, 4 Hg 3.22
Hg4 0.5000 0.0000 0.9052  2 Cd 2.95, 2 Y 3.17, 2 In 3.20, 4 Hg 3.22
Hg5 0.5000 0.5000 0.3541  2 In 2.88-2.89
Hg6 0.5000 0.5000 0.6459  2 In 2.88-2.89

Energy relative to the elements (eV/f.u.): 0.4
Calculated volume (Å³ per atom): 34.14
SG: P4/mmm